Mn2ReO, relaxed, DFT PBE+U; N(E_F) = 7.44 states/eV per cell; M_tot = 1.72 μB/atom; DFT total energy = -7.744 eV/atom
1.0
6.213 0.000 0.000
0.000 6.213 0.000
0.000 0.000 6.320
Mn Re O
8 4 4
direct
0.171 0.250 0.125
0.250 0.671 0.375
0.250 0.829 0.875
0.329 0.250 0.625
0.671 0.750 0.625
0.750 0.171 0.875
0.750 0.329 0.375
0.829 0.750 0.125
0.000 0.000 0.500
0.000 0.500 0.750
0.500 0.000 0.250
0.500 0.500 0.000
0.000 0.000 0.000
0.000 0.500 0.250
0.500 0.000 0.750
0.500 0.500 0.500